Material: Y2GaSi4Pd3
Method: DFT, GGA-PBE
State: relaxed Values from VASP.

Structure (Quantum ESPRESSO input):
```
&SYSTEM
  ibrav = 0, nat = 10, ntyp = 4
/
ATOMIC_SPECIES
Y 88.91 Y.upf
Ga 69.72 Ga.upf
Si 28.09 Si.upf
Pd 106.42 Pd.upf
ATOMIC_POSITIONS crystal
Y 0.500 0.000 0.251
Y 0.000 0.500 0.749
Ga 0.500 0.500 0.500
Si 0.500 0.500 0.000
Si 0.000 0.000 0.000
Si 0.500 0.000 0.644
Si 0.000 0.500 0.356
Pd 0.000 0.000 0.500
Pd 0.500 0.000 0.870
Pd 0.000 0.500 0.130
CELL_PARAMETERS angstrom
-0.313 -0.430 -4.036
-2.246 -3.353 0.531
-8.746 5.867 0.053
```

Summary:
calculated volume	17.45	A^3/atom
formation energy from raw total energies	-787	meV/atom